The following is a DFT calculation (PBE-GGA) of crystalline Tm2Mg3Co2 at its relaxed geometry.

Theoretical density = 5.95 g/cm³
DFT total energy = -4.163 eV/atom

Lattice parameters (Å, degrees): 10.516 10.516 3.785 90.00 90.00 159.35
Fractional coordinates of all 7 atoms:
Tm (0.177, 0.823, 0.000)
Tm (0.823, 0.177, 0.000)
Mg (0.000, 0.000, 0.000)
Mg (0.418, 0.582, 0.500)
Mg (0.582, 0.418, 0.500)
Co (0.281, 0.719, 0.500)
Co (0.719, 0.281, 0.500)